AlSb2Cl after structural relaxation, computed with PBE.

Its total magnetization is 0.0 μB per cell. The calculation puts the formation energy without anion corrections at -0.09 eV/atom. The crystal system is monoclinic.

The structure belongs to space group C2/m (No. 12); the cell edges are 12.7779, 3.4932 and 4.8324 Å and the angles 90.00°, 112.09° and 90.00°. The distinct sites, in fractional coordinates, are Al at (0.0000, 0.0000, 0.0000), Sb at (0.2000, 0.5000, 0.1996) and Cl at (0.0000, 0.5000, 0.5000).